A plane-wave DFT calculation with GGA+U was carried out for a geometry-optimized Sr2FeSnO6 structure.

a b c (Å): 5.698 5.698 5.698
angles (deg): 60.00 60.00 60.00
Each line ends with the local moment (μB).
Element x y z (fractional)
Sn1 0.500 0.500 0.500  0.05
O1 0.755 0.245 0.755  0.04
O2 0.245 0.245 0.755  0.04
O3 0.755 0.245 0.245  0.04
O4 0.755 0.755 0.245  0.04
O5 0.245 0.755 0.755  0.04
Fe1 0.000 0.000 0.000  4.12
O6 0.245 0.755 0.245  0.04
Sr1 0.750 0.750 0.750  0.00
Sr2 0.250 0.250 0.250  0.00

Computed properties:
SG   Fm-3m, No. 225
Theoretical density   5.659 g cm⁻³
E_tot   -6.29 eV per atom
Crystal system   cubic